Crystalline Cs2Sr2USe6 at its relaxed geometry. Source: Alexandria, functional PBE.

Lattice parameters (Å, degrees): 7.565 7.565 8.886 98.80 98.80 118.89
Sites, in units of the cell vectors:
Cs 0.175 0.825 0.000
Cs 0.825 0.175 0.000
Sr 0.335 0.665 0.500
Sr 0.665 0.335 0.500
U 0.000 0.000 0.500
Se 0.064 0.359 0.686
Se 0.225 0.225 0.315
Se 0.359 0.064 0.686
Se 0.641 0.936 0.314
Se 0.775 0.775 0.685
Se 0.936 0.641 0.314

Output
ΔE_f (raw): -16.4 eV per formula unit
Symmetry: No. 12
ρ: 4.51 g cm⁻³